The following is a PBE-GGA calculation of CaMg2TlRh after structural relaxation, from the Alexandria database.

a = 5.042 Å, b = 5.042 Å, c = 5.356 Å
α = 90.00°, β = 90.00°, γ = 90.00°
Space group P4/mmm (No. 123)
Inequivalent atoms, fractional coordinates:
Ca: 0.000 0.000 0.000 [1 per cell]
Mg: 0.000 0.500 0.500 [2 per cell]
Tl: 0.500 0.500 0.000 [1 per cell]
Rh: 0.000 0.000 0.500 [1 per cell]

As for the total energy: -3.147 eV/atom. The calculation puts the formation energy at -0.165 eV per atom. The energy relative to the lowest polymorph listed for this composition comes out at 27.5 meV per atom. Its magnetic moment is 0.00 μB/atom. As for the crystal system: tetragonal.

=====

The following is a PBE-GGA calculation of CaMgTl2Rh after structural relaxation, from the Alexandria database.

a = 5.266 Å, b = 5.266 Å, c = 4.947 Å
α = 90.00°, β = 90.00°, γ = 90.00°
Space group P4/mmm (No. 123)
Inequivalent atoms, fractional coordinates:
Ca: 0.000 0.000 0.000 [1 per cell]
Mg: 0.500 0.500 0.000 [1 per cell]
Tl: 0.000 0.500 0.500 [2 per cell]
Rh: 0.500 0.500 0.500 [1 per cell]

As for the total energy: -3.265 eV/atom. The calculation puts the formation energy at -0.129 eV per atom. The energy relative to the lowest polymorph listed for this composition comes out at 0.0 meV per atom. Its magnetic moment is 0.00 μB/atom. As for the crystal system: tetragonal.

=====

The following is a PBE-GGA calculation of CaMgTl2Rh after structural relaxation, from the Alexandria database.

a = 5.304 Å, b = 5.304 Å, c = 5.315 Å
α = 90.00°, β = 90.00°, γ = 90.00°
Space group P4/mmm (No. 123)
Inequivalent atoms, fractional coordinates:
Ca: 0.000 0.000 0.000 [1 per cell]
Mg: 0.500 0.500 0.000 [1 per cell]
Tl: 0.000 0.500 0.500 [2 per cell]
Rh: 0.000 0.000 0.500 [1 per cell]

As for the total energy: -3.201 eV/atom. The calculation puts the formation energy at -0.065 eV per atom. The energy relative to the lowest polymorph listed for this composition comes out at 63.7 meV per atom. Its magnetic moment is 0.00 μB/atom. As for the crystal system: tetragonal.

=====

The following is a PBE-GGA calculation of CaTm2MgRh4 after structural relaxation, from the Alexandria database.

a = 4.6806 Å, b = 4.6806 Å, c = 23.1783 Å
α = 90.00°, β = 90.00°, γ = 120.00°
Space group R-3m (No. 166, hexagonal axes)
Inequivalent atoms, fractional coordinates:
Ca: 0.0000 0.0000 0.0000 [3 per cell]
Tm: 0.0000 0.0000 0.2467 [6 per cell]
Mg: 0.0000 0.0000 0.5000 [3 per cell]
Rh: 0.0000 0.0000 0.1279 [6 per cell]
Rh: 0.0000 0.0000 0.3793 [6 per cell]

As for the total energy: -5.956 eV/atom. The calculation puts the formation energy at -0.713 eV per atom. Its magnetic moment is 0.00 μB/atom. As for the crystal system: trigonal.

=====

The following is a PBE-GGA calculation of CaTmMgRh after structural relaxation, from the Alexandria database.

a = 7.140 Å, b = 7.140 Å, c = 7.140 Å
α = 90.00°, β = 90.00°, γ = 90.00°
Space group F-43m (No. 216)
Inequivalent atoms, fractional coordinates:
Ca: 0.000 0.000 0.000 [4 per cell]
Tm: 0.000 0.000 0.500 [4 per cell]
Mg: 0.250 0.250 0.750 [4 per cell]
Rh: 0.250 0.250 0.250 [4 per cell]

As for the total energy: -4.130 eV/atom. The calculation puts the formation energy at -0.275 eV per atom. Its magnetic moment is 0.00 μB/atom. As for the crystal system: cubic.

=====

The following is a PBE-GGA calculation of CaY2MgRh after structural relaxation, from the Alexandria database.

a = 5.344 Å, b = 5.344 Å, c = 5.282 Å
α = 90.00°, β = 90.00°, γ = 90.00°
Space group P4/mmm (No. 123)
Inequivalent atoms, fractional coordinates:
Ca: 0.000 0.000 0.000 [1 per cell]
Y: 0.000 0.500 0.500 [2 per cell]
Mg: 0.500 0.500 0.000 [1 per cell]
Rh: 0.500 0.500 0.500 [1 per cell]

As for the total energy: -5.064 eV/atom. The calculation puts the formation energy at -0.289 eV per atom. The energy relative to the lowest polymorph listed for this composition comes out at 0.0 meV per atom. Its magnetic moment is 0.00 μB/atom. As for the crystal system: tetragonal.

=====

The following is a PBE-GGA calculation of CaY2MgRh after structural relaxation, from the Alexandria database.

a = 5.358 Å, b = 5.358 Å, c = 5.538 Å
α = 90.00°, β = 90.00°, γ = 90.00°
Space group P4/mmm (No. 123)
Inequivalent atoms, fractional coordinates:
Ca: 0.000 0.000 0.000 [1 per cell]
Y: 0.000 0.500 0.500 [2 per cell]
Mg: 0.500 0.500 0.000 [1 per cell]
Rh: 0.000 0.000 0.500 [1 per cell]

As for the total energy: -4.996 eV/atom. The calculation puts the formation energy at -0.221 eV per atom. The energy relative to the lowest polymorph listed for this composition comes out at 67.6 meV per atom. Its magnetic moment is 0.00 μB/atom. As for the crystal system: tetragonal.

=====

The following is a PBE-GGA calculation of Ca2YMgRh after structural relaxation, from the Alexandria database.

a = 5.522 Å, b = 5.522 Å, c = 5.333 Å
α = 90.00°, β = 90.00°, γ = 90.00°
Space group P4/mmm (No. 123)
Inequivalent atoms, fractional coordinates:
Ca: 0.000 0.500 0.000 [2 per cell]
Y: 0.000 0.000 0.500 [1 per cell]
Mg: 0.500 0.500 0.500 [1 per cell]
Rh: 0.000 0.000 0.000 [1 per cell]

As for the total energy: -4.078 eV/atom. The calculation puts the formation energy at -0.196 eV per atom. The energy relative to the lowest polymorph listed for this composition comes out at 0.0 meV per atom. Its magnetic moment is 0.00 μB/atom. As for the crystal system: tetragonal.

=====

The following is a PBE-GGA calculation of CaYMgRh after structural relaxation, from the Alexandria database.

a = 7.202 Å, b = 7.202 Å, c = 7.202 Å
α = 90.00°, β = 90.00°, γ = 90.00°
Space group F-43m (No. 216)
Inequivalent atoms, fractional coordinates:
Ca: 0.000 0.000 0.000 [4 per cell]
Y: 0.000 0.000 0.500 [4 per cell]
Mg: 0.250 0.250 0.750 [4 per cell]
Rh: 0.250 0.250 0.250 [4 per cell]

As for the total energy: -4.625 eV/atom. The calculation puts the formation energy at -0.272 eV per atom. Its magnetic moment is 0.00 μB/atom. As for the crystal system: cubic.

=====

The following is a PBE-GGA calculation of Ca2MgZn2Rh5 after structural relaxation, from the Alexandria database.

a = 9.476 Å, b = 9.476 Å, c = 3.814 Å
α = 90.00°, β = 90.00°, γ = 90.00°
Space group P4/mbm (No. 127)
Inequivalent atoms, fractional coordinates:
Ca: 0.174 0.326 0.000 [4 per cell]
Mg: 0.000 0.000 0.000 [2 per cell]
Zn: 0.124 0.624 0.000 [4 per cell]
Rh: 0.000 0.500 0.500 [2 per cell]
Rh: 0.062 0.799 0.500 [8 per cell]

As for the total energy: -4.828 eV/atom. The calculation puts the formation energy at -0.338 eV per atom. Its magnetic moment is 0.09 μB/atom. As for the crystal system: tetragonal.